(1)
Computed, not measured: a relaxed MoP2Cl crystal at the PBEsol level of DFT.

Values from the calculation:
- V (Å³/atom) = 15.19
- crystal system = orthorhombic
- ΔE to the lowest computed polymorph (meV/atom) = 620.3
- energy relative to the elements, uncorrected (eV/f.u.) = 1.718
- space group = Cmmm, No. 65
- D(E_F) (states/eV/f.u.) = 2.91
- final energy (eV per cell) = -47.3

```
8
Lattice="4.6128 0.0000 0.0000 0.0000 8.3677 0.0000 0.0000 0.0000 3.1491" Properties=species:S:1:pos:R:3 pbc="T T T"
Mo 0.0000 0.0000 0.0000
Mo 2.3064 4.1838 0.0000
P 1.1532 2.0919 1.5745
P 1.1532 6.2758 1.5745
P 3.4596 2.0919 1.5745
P 3.4596 6.2758 1.5745
Cl 0.0000 4.1838 0.0000
Cl 2.3064 0.0000 0.0000
```

(2)
Computed, not measured: a relaxed MoPCl2 crystal at the PBEsol level of DFT.

Values from the calculation:
- V (Å³/atom) = 20.71
- crystal system = orthorhombic
- energy relative to the elements, uncorrected (eV/f.u.) = 1.222
- space group = Cmmm, No. 65
- D(E_F) (states/eV/f.u.) = 2.95
- final energy (eV per cell) = -40.7

```
8
Lattice="2.8318 0.0000 0.0000 0.0000 5.3670 0.0000 0.0000 0.0000 10.8990" Properties=species:S:1:pos:R:3 pbc="T T T"
Mo 0.0000 0.0000 0.0000
Mo 1.4159 2.6835 0.0000
P 0.0000 0.0000 5.4495
P 1.4159 2.6835 5.4495
Cl 0.0000 2.6835 1.9276
Cl 0.0000 2.6835 8.9715
Cl 1.4159 0.0000 1.9276
Cl 1.4159 0.0000 8.9715
```

(3)
Computed, not measured: a relaxed MoPRuCl2 crystal at the PBEsol level of DFT.

Values from the calculation:
- V (Å³/atom) = 20.09
- crystal system = tetragonal
- energy relative to the elements, uncorrected (eV/f.u.) = 4.871
- space group = P4/mmm, No. 123
- D(E_F) (states/eV/f.u.) = 6.51
- final energy (eV per cell) = -26.9

```
5
Lattice="4.5664 0.0000 0.0000 0.0000 4.5664 0.0000 0.0000 0.0000 4.8172" Properties=species:S:1:pos:R:3 pbc="T T T"
Mo 0.0000 0.0000 0.0000
P 0.0000 0.0000 2.4086
Ru 2.2832 2.2832 2.4086
Cl 0.0000 2.2832 0.0000
Cl 2.2832 0.0000 0.0000
```